Below is a relaxed BaFeBiO2 crystal, with properties calculated at the GGA+U level.

a b c (Å): 4.4884 4.4884 5.1967
angles (deg): 90.00 90.00 90.00
With the nearest neighbours (Å) after each atom.
Sites, in units of the cell vectors:
Ba  0.0000  0.0000  0.0000  4 Bi 3.17, 8 O 3.43
Fe  0.5000  0.5000  0.5000  4 O 2.24
Bi  0.5000  0.5000  0.0000  2 Fe 2.60
O  0.0000  0.5000  0.5000  2 Fe 2.24
O  0.5000  0.0000  0.5000  2 Fe 2.24

Magnetization = 3.88 μB per cell
Total energy = -23.45 eV per cell
Space-group type = P4/mmm, No. 123
DOS at the Fermi energy = 0.6635 states/eV/atom